No. 1
DFT (GGA-PBE) results for a relaxed NbIrBr2 crystal.

DOS at the Fermi energy, states/eV/atom: 1.006
Offset from the most stable computed form, meV/atom: 413.4
Raw formation energy, eV/f.u.: 3.2

Geometry as CIF:
```
data_NbIrBr2
_symmetry_space_group_name_H-M 'F m -3 m'
_symmetry_Int_Tables_number 225
_symmetry_space_group_name_Hall '-F 4 2 3'
_cell_length_a 6.5798
_cell_length_b 6.5798
_cell_length_c 6.5798
_cell_angle_alpha 90.00
_cell_angle_beta 90.00
_cell_angle_gamma 90.00
loop_
_atom_site_label
_atom_site_type_symbol
_atom_site_fract_x
_atom_site_fract_y
_atom_site_fract_z
_atom_site_occupancy
Nb1 Nb 0.0000 0.0000 0.0000 1
Ir1 Ir 0.0000 0.0000 0.5000 1
Br1 Br 0.2500 0.2500 0.2500 1
```

---

No. 2
DFT (GGA-PBE) results for a relaxed BaMo3W crystal.

DOS at the Fermi energy, states/eV/atom: 2.022
Offset from the most stable computed form, meV/atom: 1980.0
Energy of formation, meV/atom: 3501

Geometry as CIF:
```
data_BaMo3W
_symmetry_space_group_name_H-M 'P m -3 m'
_symmetry_Int_Tables_number 221
_symmetry_space_group_name_Hall '-P 4 2 3'
_cell_length_a 4.8440
_cell_length_b 4.8440
_cell_length_c 4.8440
_cell_angle_alpha 90.00
_cell_angle_beta 90.00
_cell_angle_gamma 90.00
loop_
_atom_site_label
_atom_site_type_symbol
_atom_site_fract_x
_atom_site_fract_y
_atom_site_fract_z
_atom_site_occupancy
Ba1 Ba 0.0000 0.0000 0.0000 1
Mo1 Mo 0.0000 0.0000 0.5000 1
W1 W 0.5000 0.5000 0.5000 1
```

---

No. 3
DFT (GGA-PBE) results for a relaxed ZnP2Rh crystal.

DOS at the Fermi energy, states/eV/atom: 0.315
Energy of formation, meV/atom: -8

Geometry as CIF:
```
data_ZnP2Rh
_symmetry_space_group_name_H-M 'P 4/m m m'
_symmetry_Int_Tables_number 123
_symmetry_space_group_name_Hall '-P 4 2'
_cell_length_a 3.4224
_cell_length_b 3.4224
_cell_length_c 5.2394
_cell_angle_alpha 90.00
_cell_angle_beta 90.00
_cell_angle_gamma 90.00
loop_
_atom_site_label
_atom_site_type_symbol
_atom_site_fract_x
_atom_site_fract_y
_atom_site_fract_z
_atom_site_occupancy
Zn1 Zn 0.0000 0.0000 0.0000 1
P1 P 0.5000 0.5000 0.2955 1
Rh1 Rh 0.0000 0.0000 0.5000 1
```

---

One value per record, in order, for E: -4.766; -5.972; -4.870 eV per atom.